Material: NbZnFePd
Method: DFT, GGA-PBE
State: optimized geometry

a b c (Å): 6.1533 6.1533 6.1533
angles (deg): 90.00 90.00 90.00
With the nearest neighbours (Å) after each atom.
Space group F-43m (No. 216)
Asymmetric unit:
Nb 0.0000 0.0000 0.0000 (multiplicity 4)  4 Fe 2.66, 4 Pd 2.66
Zn 0.0000 0.0000 0.5000 (multiplicity 4)  4 Pd 2.66, 4 Fe 2.66
Fe 0.2500 0.2500 0.7500 (multiplicity 4)  4 Nb 2.66, 4 Zn 2.66
Pd 0.2500 0.2500 0.2500 (multiplicity 4)  4 Nb 2.66, 4 Zn 2.66

Values from the calculation:
* crystal system: cubic
* offset from the most stable computed form: 0 meV/atom
* ΔH_f (0 K): -107 meV/atom

***

Material: NbZnFePd
Method: DFT, GGA-PBE
State: optimized geometry

a b c (Å): 6.2447 6.2447 6.2447
angles (deg): 90.00 90.00 90.00
With the nearest neighbours (Å) after each atom.
Space group F-43m (No. 216)
Asymmetric unit:
Nb 0.0000 0.0000 0.0000 (multiplicity 4)  4 Pd 2.70, 4 Zn 2.70
Zn 0.2500 0.2500 0.2500 (multiplicity 4)  4 Nb 2.70, 4 Fe 2.70
Fe 0.0000 0.0000 0.5000 (multiplicity 4)  4 Pd 2.70, 4 Zn 2.70
Pd 0.2500 0.2500 0.7500 (multiplicity 4)  4 Nb 2.70, 4 Fe 2.70

Values from the calculation:
* crystal system: cubic
* offset from the most stable computed form: 170 meV/atom
* ΔH_f (0 K): 63 meV/atom

***

Material: PmNbFe
Method: DFT, GGA-PBE
State: optimized geometry

a b c (Å): 6.3216 6.3216 6.3216
angles (deg): 90.00 90.00 90.00
With the nearest neighbours (Å) after each atom.
Space group F-43m (No. 216)
Asymmetric unit:
Pm 0.0000 0.0000 0.0000 (multiplicity 4)  4 Fe 2.74
Nb 0.0000 0.0000 0.5000 (multiplicity 4)  4 Fe 2.74
Fe 0.2500 0.2500 0.7500 (multiplicity 4)  4 Pm 2.74, 4 Nb 2.74

Values from the calculation:
* crystal system: cubic
* offset from the most stable computed form: 0 meV/atom
* ΔH_f (0 K): 539 meV/atom

***

Material: PrNbFe
Method: DFT, GGA-PBE
State: optimized geometry

a b c (Å): 6.3752 6.3752 6.3752
angles (deg): 90.00 90.00 90.00
With the nearest neighbours (Å) after each atom.
Space group F-43m (No. 216)
Asymmetric unit:
Pr 0.0000 0.0000 0.0000 (multiplicity 4)  4 Fe 2.76
Nb 0.0000 0.0000 0.5000 (multiplicity 4)  4 Fe 2.76
Fe 0.2500 0.2500 0.7500 (multiplicity 4)  4 Nb 2.76, 4 Pr 2.76

Values from the calculation:
* crystal system: cubic
* offset from the most stable computed form: 0 meV/atom
* ΔH_f (0 K): 621 meV/atom